a) A plane-wave DFT calculation with PBE was carried out for an optimized crystal structure of Y2HfO2.

Output
The size of the total moment is 0.0000 μB/atom. As for the crystal system: tetragonal. Its symmetry is P4/mbm.

a b c (Å): 8.092 8.092 2.959
angles (deg): 90.00 90.00 90.00
Atoms (fractional coordinates):
O: 0.106 0.606 0.500
O: 0.606 0.894 0.500
Y: 0.129 0.371 0.000
Y: 0.629 0.129 0.000
O: 0.894 0.394 0.500
Hf: 0.500 0.500 0.000
Y: 0.871 0.629 0.000
O: 0.394 0.106 0.500
Y: 0.371 0.871 0.000
Hf: 0.000 0.000 0.000


b) A plane-wave DFT calculation with PBE was carried out for an optimized crystal structure of Y2HfO2.

Output
The size of the total moment is 0.0757 μB/atom. As for the crystal system: tetragonal. Its symmetry is I4/mmm.

a b c (Å): 3.779 3.779 8.173
angles (deg): 76.63 76.63 90.00
Site moments in Bohr magnetons follow the coordinates.
Atoms (fractional coordinates):
O: 0.250 0.750 0.500  0.00
O: 0.750 0.250 0.500  0.00
Y: 0.325 0.325 0.350  0.00
Hf: 0.000 0.000 0.000  0.22
Y: 0.675 0.675 0.650  0.00


b) is favored, and the nearest alternative lies 104.4 kJ/mol of atoms above it.


a) A plane-wave DFT calculation with PBE was carried out for an optimized crystal structure of YHf3O.

Output
The size of the total moment is 0.0000 μB/atom. As for the crystal system: cubic. Its symmetry is Pm-3m.

a b c (Å): 5.169 5.169 5.169
angles (deg): 90.00 90.00 90.00
Atoms (fractional coordinates):
O: 0.500 0.500 0.500
Hf: 0.500 0.000 0.000
Y: 0.000 0.000 0.000
Hf: 0.000 0.500 0.000
Hf: 0.000 0.000 0.500


b) A plane-wave DFT calculation with PBE was carried out for an optimized crystal structure of YHf3O.

Output
The size of the total moment is 0.0000 μB/atom. As for the crystal system: cubic. Its symmetry is Pm-3m.

a b c (Å): 4.599 4.599 4.599
angles (deg): 90.00 90.00 90.00
Atoms (fractional coordinates):
Hf: 0.500 0.000 0.000
Hf: 0.000 0.000 0.500
Hf: 0.000 0.500 0.000
O: 0.000 0.000 0.000
Y: 0.500 0.500 0.500


b) is favored, and the nearest alternative lies 282.6 kJ/mol of atoms above it.


a) A plane-wave DFT calculation with PBE was carried out for an optimized crystal structure of Y2HfZrO.

Output
The size of the total moment is 0.0000 μB/atom. As for the crystal system: tetragonal. Its symmetry is P4/mmm.

a b c (Å): 4.796 4.796 4.616
angles (deg): 90.00 90.00 90.00
Atoms (fractional coordinates):
Y: 0.500 0.000 0.000
Zr: 0.000 0.000 0.500
Y: 0.000 0.500 0.000
O: 0.000 0.000 0.000
Hf: 0.500 0.500 0.500


b) A plane-wave DFT calculation with PBE was carried out for an optimized crystal structure of Y2HfZrO.

Output
The size of the total moment is 0.0000 μB/atom. As for the crystal system: tetragonal. Its symmetry is P4/mmm.

a b c (Å): 4.902 4.902 4.413
angles (deg): 90.00 90.00 90.00
Atoms (fractional coordinates):
Y: 0.000 0.500 0.000
Zr: 0.500 0.500 0.500
Y: 0.500 0.000 0.000
O: 0.000 0.000 0.000
Hf: 0.000 0.000 0.500


b) is favored, and the nearest alternative lies 1.3 kJ/mol of atoms above it.


a) A plane-wave DFT calculation with PBE was carried out for an optimized crystal structure of Hf2ZnO.

Output
The size of the total moment is 0.0000 μB/atom. As for the crystal system: trigonal. Its symmetry is R3m.

a b c (Å): 3.233 3.233 7.219
angles (deg): 77.06 77.06 60.00
Atoms (fractional coordinates):
O: 0.668 0.668 0.997
Zn: 0.499 0.499 0.502
Hf: 0.061 0.061 0.818
Hf: 0.272 0.272 0.184


b) A plane-wave DFT calculation with PBE was carried out for an optimized crystal structure of Hf2ZnO.

Output
The size of the total moment is 0.0000 μB/atom. As for the crystal system: tetragonal. Its symmetry is I-42d.

a b c (Å): 5.343 5.343 6.618
angles (deg): 66.19 66.19 90.00
Atoms (fractional coordinates):
Hf: 0.875 0.781 0.750
Zn: 0.750 0.250 0.500
Zn: 0.000 0.000 0.000
Hf: 0.375 0.469 0.750
O: 0.500 0.500 0.000
O: 0.250 0.750 0.500
Hf: 0.531 0.125 0.250
Hf: 0.219 0.625 0.250


c) A plane-wave DFT calculation with PBE was carried out for an optimized crystal structure of Hf2ZnO.

Output
The size of the total moment is 0.0000 μB/atom. As for the crystal system: cubic. Its symmetry is Fm-3m.

a b c (Å): 4.472 4.472 4.472
angles (deg): 60.00 60.00 60.00
Atoms (fractional coordinates):
Zn: 0.500 0.500 0.500
O: 0.000 0.000 0.000
Hf: 0.750 0.750 0.750
Hf: 0.250 0.250 0.250


a) is favored, and the nearest alternative lies 26.4 kJ/mol of atoms above it.


a) A plane-wave DFT calculation with PBE was carried out for an optimized crystal structure of HfZn3O.

Output
The size of the total moment is 0.0000 μB/atom. As for the crystal system: cubic. Its symmetry is Pm-3m.

a b c (Å): 5.297 5.297 5.297
angles (deg): 90.00 90.00 90.00
Atoms (fractional coordinates):
Zn: 0.000 0.500 0.000
Hf: 0.000 0.000 0.000
Zn: 0.000 0.000 0.500
Zn: 0.500 0.000 0.000
O: 0.500 0.500 0.500


b) A plane-wave DFT calculation with PBE was carried out for an optimized crystal structure of HfZn3O.

Output
The size of the total moment is 0.1514 μB/atom. As for the crystal system: cubic. Its symmetry is Pm-3m.

a b c (Å): 4.287 4.287 4.287
angles (deg): 90.00 90.00 90.00
Site moments in Bohr magnetons follow the coordinates.
Atoms (fractional coordinates):
O: 0.000 0.000 0.000  0.18
Zn: 0.000 0.500 0.000  0.06
Zn: 0.500 0.000 0.000  0.01
Hf: 0.500 0.500 0.500  0.27
Zn: 0.000 0.000 0.500  0.03


b) is favored, and the nearest alternative lies 127.0 kJ/mol of atoms above it.


a) A plane-wave DFT calculation with PBE was carried out for an optimized crystal structure of HfZrO.

Output
The size of the total moment is 0.0000 μB/atom. As for the crystal system: monoclinic. Its symmetry is P2_1/c.

a b c (Å): 5.754 6.060 6.063
angles (deg): 116.27 90.00 90.00
Atoms (fractional coordinates):
O: 0.996 0.743 0.740
Hf: 0.661 0.870 0.630
O: 0.004 0.257 0.260
Zr: 0.842 0.868 0.131
Zr: 0.158 0.132 0.869
Hf: 0.161 0.630 0.370
Hf: 0.339 0.130 0.370
Zr: 0.658 0.368 0.131
O: 0.504 0.243 0.740
Zr: 0.342 0.632 0.869
O: 0.496 0.757 0.260
Hf: 0.839 0.370 0.630


b) A plane-wave DFT calculation with PBE was carried out for an optimized crystal structure of HfZrO.

Output
The size of the total moment is 0.0000 μB/atom. As for the crystal system: trigonal. Its symmetry is P3m1.

a b c (Å): 5.180 3.263 3.263
angles (deg): 120.00 90.00 90.00
Atoms (fractional coordinates):
Zr: 0.599 0.667 0.333
Hf: 0.075 0.000 0.000
O: 0.326 0.333 0.667


c) A plane-wave DFT calculation with PBE was carried out for an optimized crystal structure of HfZrO.

Output
The size of the total moment is 0.0000 μB/atom. As for the crystal system: monoclinic. Its symmetry is P2_1/c.

a b c (Å): 5.190 5.583 6.543
angles (deg): 89.58 90.00 90.00
Atoms (fractional coordinates):
O: 0.003 0.740 0.879
Hf: 0.759 0.419 0.375
Zr: 0.754 0.918 0.626
Zr: 0.254 0.082 0.874
Zr: 0.246 0.082 0.374
O: 0.997 0.260 0.121
O: 0.497 0.740 0.379
Hf: 0.259 0.581 0.125
Hf: 0.741 0.419 0.875
O: 0.503 0.260 0.621
Hf: 0.241 0.581 0.625
Zr: 0.746 0.918 0.126


d) A plane-wave DFT calculation with PBE was carried out for an optimized crystal structure of HfZrO.

Output
The size of the total moment is 0.0000 μB/atom. As for the crystal system: monoclinic. Its symmetry is Cc.

a b c (Å): 6.026 6.026 6.319
angles (deg): 69.21 69.21 87.33
Atoms (fractional coordinates):
Hf: 0.502 0.121 0.526
Zr: 0.620 0.613 0.561
Hf: 0.968 0.959 0.626
Hf: 0.121 0.502 0.026
Zr: 0.131 0.484 0.530
Zr: 0.613 0.620 0.061
O: 0.786 0.275 0.599
O: 0.275 0.786 0.099
O: 0.776 0.280 0.140
O: 0.280 0.776 0.640
Zr: 0.484 0.131 0.030
Hf: 0.959 0.968 0.126


c) is favored, and the nearest alternative lies 1.3 kJ/mol of atoms above it.


a) A plane-wave DFT calculation with PBE was carried out for an optimized crystal structure of Hf4Os.

Output
The size of the total moment is 0.0000 μB/atom. As for the crystal system: orthorhombic. Its symmetry is Fdd2.

a b c (Å): 6.157 6.157 7.211
angles (deg): 101.17 101.17 123.10
Atoms (fractional coordinates):
Hf: 0.736 0.886 0.218
Hf: 0.207 0.860 0.117
Hf: 0.668 0.518 0.782
Os: 0.548 0.048 0.500
Hf: 0.340 0.493 0.383
Hf: 0.136 0.486 0.718
Hf: 0.110 0.957 0.617
Hf: 0.743 0.090 0.883
Hf: 0.768 0.418 0.282
Os: 0.298 0.298 0.000


b) A plane-wave DFT calculation with PBE was carried out for an optimized crystal structure of Hf4Os.

Output
The size of the total moment is 0.0000 μB/atom. As for the crystal system: cubic. Its symmetry is Pm-3m.

a b c (Å): 4.991 4.991 4.991
angles (deg): 90.00 90.00 90.00
Atoms (fractional coordinates):
Hf: 0.500 0.000 0.500
Hf: 0.500 0.500 0.000
Os: 0.500 0.500 0.500
Hf: 0.000 0.500 0.500
Hf: 0.000 0.000 0.000


a) is favored, and the nearest alternative lies 52.5 kJ/mol of atoms above it.


a) A plane-wave DFT calculation with PBE was carried out for an optimized crystal structure of HfPOs3.

Output
The size of the total moment is 0.0000 μB/atom. As for the crystal system: cubic. Its symmetry is Pm-3m.

a b c (Å): 4.367 4.367 4.367
angles (deg): 90.00 90.00 90.00
Atoms (fractional coordinates):
Os: 0.500 0.000 0.000
Hf: 0.500 0.500 0.500
Os: 0.000 0.500 0.000
P: 0.000 0.000 0.000
Os: 0.000 0.000 0.500


b) A plane-wave DFT calculation with PBE was carried out for an optimized crystal structure of HfPOs3.

Output
The size of the total moment is 0.1449 μB/atom. As for the crystal system: cubic. Its symmetry is Pm-3m.

a b c (Å): 4.791 4.791 4.791
angles (deg): 90.00 90.00 90.00
Site moments in Bohr magnetons follow the coordinates.
Atoms (fractional coordinates):
Os: 0.000 0.000 0.500  0.23
Hf: 0.000 0.000 0.000  -0.01
Os: 0.000 0.500 0.000  0.26
P: 0.500 0.500 0.500  -0.05
Os: 0.500 0.000 0.000  0.26


a) is favored, and the nearest alternative lies 231.0 kJ/mol of atoms above it.


a) A plane-wave DFT calculation with PBE was carried out for an optimized crystal structure of HfP2Os.

Output
The size of the total moment is 0.0000 μB/atom. As for the crystal system: tetragonal. Its symmetry is I-42d.

a b c (Å): 4.872 4.872 7.505
angles (deg): 71.06 71.06 90.00
Atoms (fractional coordinates):
P: 0.679 0.125 0.250
Hf: 0.250 0.750 0.500
Os: 0.750 0.250 0.500
Os: 0.000 0.000 0.000
Hf: 0.500 0.500 0.000
P: 0.071 0.625 0.250
P: 0.875 0.929 0.750
P: 0.375 0.321 0.750


b) A plane-wave DFT calculation with PBE was carried out for an optimized crystal structure of HfP2Os.

Output
The size of the total moment is 0.0000 μB/atom. As for the crystal system: cubic. Its symmetry is Fm-3m.

a b c (Å): 4.367 4.367 4.367
angles (deg): 60.00 60.00 60.00
Atoms (fractional coordinates):
Hf: 0.000 0.000 0.000
P: 0.750 0.750 0.750
Os: 0.500 0.500 0.500
P: 0.250 0.250 0.250


b) is favored, and the nearest alternative lies 7.6 kJ/mol of atoms above it.


a) A plane-wave DFT calculation with PBE was carried out for an optimized crystal structure of HfPOsS2.

Output
The size of the total moment is 0.0000 μB/atom. As for the crystal system: tetragonal. Its symmetry is P4/mmm.

a b c (Å): 4.708 4.708 4.402
angles (deg): 90.00 90.00 90.00
Atoms (fractional coordinates):
S: 0.500 0.000 0.000
Os: 0.000 0.000 0.000
Hf: 0.500 0.500 0.500
S: 0.000 0.500 0.000
P: 0.000 0.000 0.500


b) A plane-wave DFT calculation with PBE was carried out for an optimized crystal structure of HfPOsS2.

Output
The size of the total moment is 0.8011 μB/atom. As for the crystal system: tetragonal. Its symmetry is P4/mmm.

a b c (Å): 4.793 4.793 5.159
angles (deg): 90.00 90.00 90.00
Site moments in Bohr magnetons follow the coordinates.
Atoms (fractional coordinates):
Os: 0.500 0.500 0.500  3.21
S: 0.000 0.500 0.000  0.12
S: 0.500 0.000 0.000  0.12
Hf: 0.000 0.000 0.000  0.04
P: 0.000 0.000 0.500  -0.04


a) is favored, and the nearest alternative lies 40.9 kJ/mol of atoms above it.


a) A plane-wave DFT calculation with PBE was carried out for an optimized crystal structure of HfPaOs.

Output
The size of the total moment is 0.0000 μB/atom. As for the crystal system: tetragonal. Its symmetry is I4mm.

a b c (Å): 3.212 3.212 6.517
angles (deg): 104.27 104.27 90.00
Atoms (fractional coordinates):
Os: 0.675 0.675 0.351
Pa: 0.018 0.018 0.036
Hf: 0.307 0.307 0.614


b) A plane-wave DFT calculation with PBE was carried out for an optimized crystal structure of HfPaOs.

Output
The size of the total moment is 0.0000 μB/atom. As for the crystal system: trigonal. Its symmetry is P3m1.

a b c (Å): 3.072 4.717 4.717
angles (deg): 120.00 90.00 90.00
Atoms (fractional coordinates):
Os: 0.351 0.667 0.333
Hf: 0.008 0.000 0.000
Pa: 0.641 0.333 0.667


c) A plane-wave DFT calculation with PBE was carried out for an optimized crystal structure of HfPaOs.

Output
The size of the total moment is 0.0000 μB/atom. As for the crystal system: trigonal. Its symmetry is R-3m.

a b c (Å): 4.452 4.452 7.898
angles (deg): 73.63 73.63 60.00
Atoms (fractional coordinates):
Pa: 0.796 0.796 0.613
Os: 0.066 0.066 0.802
Hf: 0.637 0.637 0.090
Hf: 0.363 0.363 0.910
Os: 0.934 0.934 0.198
Pa: 0.204 0.204 0.387


c) is favored, and the nearest alternative lies 1.7 kJ/mol of atoms above it.